# BaBiMoO6

An optimized crystal structure of BaBiMoO6 (PBE+U, the Alexandria database).

Computed properties:
Mass density in Mg/m³: 5.69
Energy in eV per formula unit: -58.15
DOS at the Fermi energy in states/eV/f.u.: 3.3
Space group: P312

The structure in POSCAR format:
```
BaBiMoO6
1.0
-1.5187 -4.9432 2.3131
0.3936 -4.7790 -3.0163
5.2842 -0.7470 1.8734
O Mo Ba Bi
6 1 1 1
direct
0.3723 0.0351 0.7037
0.0349 0.5927 0.7037
0.0350 0.3723 0.2963
0.5927 0.0350 0.2963
0.5925 0.3725 0.7038
0.3724 0.5925 0.2962
0.3333 0.3333 0.5000
0.0000 0.0000 0.0000
0.6666 0.6667 0.5000
```